No. 1
The following is a DFT calculation (PBE) of crystalline Tb5HoTm at its relaxed geometry.

a = 5.758 Å, b = 8.615 Å, c = 11.932 Å
α = 90.00°, β = 90.00°, γ = 90.00°
Space group Immm (No. 71)
One atom of each set of equivalent atoms:
Tb  0.000  0.000  0.000 (multiplicity 2)
Tb  0.000  0.177  0.500 (multiplicity 4)
Tb  0.000  0.500  0.254 (multiplicity 4)
Ho  0.000  0.500  0.500 (multiplicity 2)
Tm  0.000  0.500  0.000 (multiplicity 2)

formation energy = 1.09 eV per atom
polymorph energy (0 for the lowest one) = 899 meV/atom

---

No. 2
The following is a DFT calculation (PBE) of crystalline RbScPdRu2 at its relaxed geometry.

a = 4.789 Å, b = 4.789 Å, c = 4.888 Å
α = 90.00°, β = 90.00°, γ = 90.00°
Space group P4/mmm (No. 123)
One atom of each set of equivalent atoms:
Rb  0.000  0.000  0.000 (multiplicity 1)
Sc  0.500  0.500  0.500 (multiplicity 1)
Pd  0.000  0.000  0.500 (multiplicity 1)
Ru  0.000  0.500  0.000 (multiplicity 2)

formation energy = 2.10 eV per atom

---

No. 3
The following is a DFT calculation (PBE) of crystalline Pm7SiC2 at its relaxed geometry.

a = 8.137 Å, b = 18.228 Å, c = 3.775 Å
α = 90.00°, β = 90.00°, γ = 90.00°
Space group Cmmm (No. 65)
One atom of each set of equivalent atoms:
Pm  0.000  0.000  0.000 (multiplicity 2)
Pm  0.000  0.216  0.500 (multiplicity 4)
Pm  0.195  0.389  0.000 (multiplicity 8)
Si  0.000  0.500  0.500 (multiplicity 2)
C  0.000  0.134  0.000 (multiplicity 4)

uncorrected formation energy = 0.071 eV per atom

---

No. 4
The following is a DFT calculation (PBE) of crystalline Er4Tm3Cd at its relaxed geometry.

a = 6.075 Å, b = 8.812 Å, c = 9.716 Å
α = 90.00°, β = 90.00°, γ = 90.00°
Space group Imm2 (No. 44)
One atom of each set of equivalent atoms:
Er  0.000  0.174  0.000 (multiplicity 4)
Er  0.249  0.500  0.020 (multiplicity 4)
Tm  0.000  0.316  0.681 (multiplicity 4)
Tm  0.000  0.500  0.344 (multiplicity 2)
Cd  0.000  0.000  0.258 (multiplicity 2)

formation energy = 0.38 eV per atom
polymorph energy (0 for the lowest one) = 442 meV/atom

---

no.,calculated volume (A^3/atom),total moment (μB/f.u.)
1,42.280,0.0
2,22.425,1.3
3,27.995,0.0
4,32.510,0.0